(1)
Here is a relaxed structure of InMoN3 from Alexandria via LeMat-Bulk. Energies are from PBE.

The size of the total moment comes out at 0.003 μB per formula unit. The density of states at the Fermi level comes out at 7.64 states/eV/f.u. Its total energy is -0.398 Ry per atom. For the uncorrected formation energy, the calculation gives 2.296 eV/atom.

The space group is Pm-3m (No. 221) and the conventional cell measures 4.024, 4.024 and 4.024 Å, with angles of 90.00, 90.00 and 90.00 degrees. The distinct sites, in fractional coordinates, are In at (0.000, 0.000, 0.000), Mo at (0.500, 0.500, 0.500) and N at (0.000, 0.000, 0.500).



(2)
Here is a relaxed structure of SnAs2Ir from Alexandria via LeMat-Bulk. Energies are from PBE.

The size of the total moment comes out at 0.000 μB per formula unit. The calculation puts the formation energy at 0.02 eV/atom. The density of states at the Fermi level comes out at 2.71 states/eV/f.u. Its total energy is -0.406 Ry per atom.

The space group is I-42d (No. 122) and the conventional cell measures 5.907, 5.907 and 11.887 Å, with angles of 90.00, 90.00 and 90.00 degrees. The distinct sites, in fractional coordinates, are Sn at (0.000, 0.000, 0.000), As at (0.195, 0.250, 0.625) and Ir at (0.000, 0.000, 0.500).